{
  "formula": "TiCu2Si2",
  "functional": "PBE",
  "state": "relaxed",
  "cell": [[-3.4918, -6.0561, 0.1626], [5.5666, -3.1332, 2.8446], [-0.9218, 0.5976, 2.4620]],
  "species": ["Ti", "Ti", "Si", "Si", "Si", "Si", "Cu", "Cu", "Cu", "Cu"],
  "frac_coords": [[0.5000, 0.5000, 0.0000], [0.0000, 0.0000, 0.0000], [0.8216, 0.3216, 0.5000], [0.6784, 0.8216, 0.5000], [0.1784, 0.6784, 0.5000], [0.3216, 0.1784, 0.5000], [0.3788, 0.8788, 0.0000], [0.8788, 0.6212, 0.0000], [0.6212, 0.1212, 0.0000], [0.1212, 0.3788, 0.0000]],
  "e_form_raw_ev_per_atom": -0.077,
  "vol_a3_per_cell": 131.8,
  "final_energy_ev_per_atom": -5.4637
}